First-principles (SCAN) data for HfReP2S at its PBEsol-relaxed geometry, as listed in Alexandria via LeMat-Bulk.

Lattice parameters (Å, degrees): 4.454 4.454 4.842 90.00 90.00 90.00
Fractional positions:
Hf 0.000 0.000 0.000
Re 0.500 0.500 0.500
P 0.000 0.500 0.500
P 0.500 0.000 0.500
S 0.500 0.500 0.000

E, eV/cell: -161.20
Mass density, g cm⁻³: 7.93
Formation energy from raw total energies, eV per formula unit: 2.99